PrGa4Cu8: optimized geometry, PBE-GGA.

The space group is I4/mmm (No. 139) and the conventional cell measures 8.707, 8.707 and 5.034 Å, with angles of 90.00, 90.00 and 90.00 degrees. Symmetry generates all atoms from Pr at (0.000, 0.000, 0.000), Ga at (0.250, 0.250, 0.250), Cu at (0.000, 0.223, 0.500) and Cu at (0.000, 0.356, 0.000).

=====

Pr3GaCu4: optimized geometry, PBE-GGA.

The space group is Immm (No. 71) and the conventional cell measures 4.700, 4.789 and 16.612 Å, with angles of 90.00, 90.00 and 90.00 degrees. Symmetry generates all atoms from Pr at (0.000, 0.000, 0.000), Pr at (0.000, 0.500, 0.205), Ga at (0.000, 0.000, 0.500) and Cu at (0.000, 0.256, 0.374).

=====

Pr5GaCu2: optimized geometry, PBE-GGA.

The space group is I4/mcm (No. 140) and the conventional cell measures 7.465, 7.465 and 15.891 Å, with angles of 90.00, 90.00 and 90.00 degrees. Symmetry generates all atoms from Pr at (0.000, 0.000, 0.000), Pr at (0.168, 0.332, 0.149), Ga at (0.000, 0.000, 0.250) and Cu at (0.118, 0.382, 0.500).

=====

no.,electronic total energy (eV/cell),energy relative to the elements (meV per atom)
1,-103.60,-165
2,-68.83,-83
3,-146.55,-190